Compound: TbPu2Zr
Source: Alexandria via LeMat-Bulk
Functional: PBE-GGA
Structure: relaxed

Values from the calculation:
DOS(E_F), states/eV per cell: 14.3
Energy above the lowest structure with this stoichiometry, eV/atom: 0.038

Cell and atoms, written as POSCAR:
```
TbPu2Zr
1.0
4.667 0.000 0.000
0.000 4.667 0.000
0.000 0.000 4.811
Tb Pu Zr
1 2 1
direct
0.000 0.000 0.000 Tb
0.000 0.500 0.500 Pu
0.500 0.000 0.500 Pu
0.500 0.500 0.000 Zr
```